Here is an optimized crystal structure of Zn2GaPb from Alexandria via LeMat-Bulk. Energies are from PBE.

Calculated values
The value obtained for the density is 7.89 Mg/m³. The formation energy is 0.149 eV/atom. Its energy relative to the lowest polymorph listed for this composition is 28 meV per atom. The magnetic moment is 0.00 μB/atom. The total energy comes out at -2.172 eV/atom. As for the calculated volume: 21.46 A^3/atom.

Unit cell a=3.490 b=3.490 c=8.382 alpha=77.98 beta=77.98 gamma=60.00
Positions (direct):
Pb (0.500, 0.500, 0.500)
Zn (0.261, 0.261, 0.218)
Zn (0.739, 0.739, 0.782)
Ga (0.000, 0.000, 0.000)


Here is an optimized crystal structure of Zn6Ga2Pb from Alexandria via LeMat-Bulk. Energies are from PBE.

Calculated values
The value obtained for the density is 7.56 Mg/m³. The formation energy is 0.054 eV/atom. The magnetic moment is 0.00 μB/atom. The total energy comes out at -1.880 eV/atom. As for the calculated volume: 18.04 A^3/atom.

Unit cell a=4.044 b=4.044 c=9.928 alpha=90.00 beta=90.00 gamma=90.00
Positions (direct):
Zn (0.000, 0.500, 0.310)
Zn (0.500, 0.000, 0.310)
Zn (0.000, 0.500, 0.690)
Zn (0.500, 0.000, 0.690)
Zn (0.500, 0.500, 0.500)
Zn (0.000, 0.000, 0.500)
Ga (0.500, 0.500, 0.136)
Ga (0.500, 0.500, 0.864)
Pb (0.000, 0.000, 0.000)


Here is an optimized crystal structure of Zn2GaPb from Alexandria via LeMat-Bulk. Energies are from PBE.

Calculated values
The value obtained for the density is 7.48 Mg/m³. The formation energy is 0.154 eV/atom. Its energy relative to the lowest polymorph listed for this composition is 33 meV per atom. The magnetic moment is 0.00 μB/atom. The total energy comes out at -2.167 eV/atom. As for the calculated volume: 22.63 A^3/atom.

Unit cell a=4.597 b=4.597 c=9.163 alpha=75.47 beta=75.47 gamma=90.00
Positions (direct):
Pb (0.000, 0.000, 0.000)
Pb (0.750, 0.250, 0.500)
Zn (0.532, 0.125, 0.250)
Zn (0.218, 0.625, 0.250)
Zn (0.375, 0.468, 0.750)
Zn (0.875, 0.782, 0.750)
Ga (0.500, 0.500, 0.000)
Ga (0.250, 0.750, 0.500)


Here is an optimized crystal structure of Zn2Ga4Pb from Alexandria via LeMat-Bulk. Energies are from PBE.

Calculated values
The value obtained for the density is 7.33 Mg/m³. The formation energy is 0.048 eV/atom. The magnetic moment is 0.00 μB/atom. The total energy comes out at -2.575 eV/atom. As for the calculated volume: 19.97 A^3/atom.

Unit cell a=4.974 b=5.931 c=5.931 alpha=69.58 beta=64.58 gamma=64.58
Positions (direct):
Zn (0.721, 0.531, 0.531)
Zn (0.279, 0.469, 0.469)
Ga (0.701, 0.606, 0.004)
Ga (0.299, 0.394, 0.996)
Ga (0.701, 0.004, 0.606)
Ga (0.299, 0.996, 0.394)
Pb (0.000, 0.000, 0.000)


Here is an optimized crystal structure of Zn2GaPb from Alexandria via LeMat-Bulk. Energies are from PBE.

Calculated values
The value obtained for the density is 7.64 Mg/m³. The formation energy is 0.125 eV/atom. Its energy relative to the lowest polymorph listed for this composition is 4 meV per atom. The magnetic moment is 0.00 μB/atom. The total energy comes out at -2.196 eV/atom. As for the calculated volume: 22.15 A^3/atom.

Unit cell a=4.249 b=4.249 c=6.174 alpha=69.87 beta=69.87 gamma=60.00
Positions (direct):
Zn (0.045, 0.045, 0.864)
Zn (0.280, 0.280, 0.159)
Ga (0.679, 0.679, 0.962)
Pb (0.495, 0.495, 0.516)


Here is an optimized crystal structure of ZnGa2Pb2 from Alexandria via LeMat-Bulk. Energies are from PBE.

Calculated values
The value obtained for the density is 8.57 Mg/m³. The formation energy is 0.077 eV/atom. Its energy relative to the lowest polymorph listed for this composition is 0 meV per atom. The magnetic moment is 0.00 μB/atom. The total energy comes out at -2.872 eV/atom. As for the calculated volume: 23.99 A^3/atom.

Unit cell a=6.813 b=6.813 c=5.170 alpha=90.00 beta=90.00 gamma=90.00
Positions (direct):
Pb (0.180, 0.680, 0.500)
Pb (0.680, 0.820, 0.500)
Pb (0.820, 0.320, 0.500)
Pb (0.320, 0.180, 0.500)
Zn (0.000, 0.000, 0.000)
Zn (0.500, 0.500, 0.000)
Ga (0.362, 0.862, 0.000)
Ga (0.862, 0.638, 0.000)
Ga (0.638, 0.138, 0.000)
Ga (0.138, 0.362, 0.000)


Here is an optimized crystal structure of ZnGa7Pb2 from Alexandria via LeMat-Bulk. Energies are from PBE.

Calculated values
The value obtained for the density is 7.52 Mg/m³. The formation energy is 0.033 eV/atom. The magnetic moment is 0.00 μB/atom. The total energy comes out at -2.955 eV/atom. As for the calculated volume: 21.38 A^3/atom.

Unit cell a=4.361 b=4.361 c=11.240 alpha=90.00 beta=90.00 gamma=90.00
Positions (direct):
Zn (0.500, 0.500, 0.000)
Ga (0.000, 0.500, 0.863)
Ga (0.500, 0.000, 0.361)
Ga (0.500, 0.000, 0.137)
Ga (0.000, 0.500, 0.639)
Ga (0.000, 0.000, 0.500)
Ga (0.000, 0.000, 0.000)
Ga (0.500, 0.500, 0.500)
Pb (0.500, 0.000, 0.756)
Pb (0.000, 0.500, 0.244)


Here is an optimized crystal structure of Zn3GaPb from Alexandria via LeMat-Bulk. Energies are from PBE.

Calculated values
The value obtained for the density is 6.79 Mg/m³. The formation energy is 0.330 eV/atom. Its energy relative to the lowest polymorph listed for this composition is 0 meV per atom. The magnetic moment is 0.00 μB/atom. The total energy comes out at -1.781 eV/atom. As for the calculated volume: 23.15 A^3/atom.

Unit cell a=4.873 b=4.873 c=4.873 alpha=90.00 beta=90.00 gamma=90.00
Positions (direct):
Pb (0.500, 0.500, 0.500)
Zn (0.000, 0.500, 0.000)
Zn (0.000, 0.000, 0.500)
Zn (0.500, 0.000, 0.000)
Ga (0.000, 0.000, 0.000)


Here is an optimized crystal structure of Zn3GaPb from Alexandria via LeMat-Bulk. Energies are from PBE.

Calculated values
The value obtained for the density is 5.05 Mg/m³. The formation energy is 0.662 eV/atom. Its energy relative to the lowest polymorph listed for this composition is 332 meV per atom. The magnetic moment is 0.00 μB/atom. The total energy comes out at -1.449 eV/atom. As for the calculated volume: 31.09 A^3/atom.

Unit cell a=5.377 b=5.377 c=5.377 alpha=90.00 beta=90.00 gamma=90.00
Positions (direct):
Pb (0.000, 0.000, 0.000)
Zn (0.000, 0.500, 0.000)
Zn (0.000, 0.000, 0.500)
Zn (0.500, 0.000, 0.000)
Ga (0.500, 0.500, 0.500)


Here is an optimized crystal structure of ZnGaPb2 from Alexandria via LeMat-Bulk. Energies are from PBE.

Calculated values
The value obtained for the density is 9.14 Mg/m³. The formation energy is 0.121 eV/atom. Its energy relative to the lowest polymorph listed for this composition is 0 meV per atom. The magnetic moment is 0.00 μB/atom. The total energy comes out at -2.808 eV/atom. As for the calculated volume: 24.95 A^3/atom.

Unit cell a=3.968 b=5.016 c=5.016 alpha=90.00 beta=90.00 gamma=90.00
Positions (direct):
Pb (0.000, 0.000, 0.500)
Pb (0.000, 0.500, 0.000)
Zn (0.500, 0.500, 0.500)
Ga (0.500, 0.000, 0.000)


Here is an optimized crystal structure of Zn2Ga10Pb from Alexandria via LeMat-Bulk. Energies are from PBE.

Calculated values
The value obtained for the density is 6.72 Mg/m³. The formation energy is 0.055 eV/atom. The magnetic moment is 0.00 μB/atom. The total energy comes out at -2.755 eV/atom. As for the calculated volume: 19.67 A^3/atom.

Unit cell a=5.707 b=7.253 c=7.299 alpha=81.15 beta=66.98 gamma=66.83
Positions (direct):
Zn (0.000, 0.500, 0.000)
Zn (0.500, 0.500, 0.000)
Ga (0.353, 0.644, 0.651)
Ga (0.647, 0.356, 0.349)
Ga (0.997, 0.356, 0.651)
Ga (0.003, 0.644, 0.349)
Ga (0.000, 0.000, 0.500)
Ga (0.500, 0.000, 0.500)
Ga (0.287, 0.216, 0.210)
Ga (0.713, 0.784, 0.790)
Ga (0.503, 0.784, 0.210)
Ga (0.497, 0.216, 0.790)
Pb (0.000, 0.000, 0.000)


Here is an optimized crystal structure of ZnGa4Pb from Alexandria via LeMat-Bulk. Energies are from PBE.

Calculated values
The value obtained for the density is 7.11 Mg/m³. The formation energy is 0.126 eV/atom. Its energy relative to the lowest polymorph listed for this composition is 81 meV per atom. The magnetic moment is 0.00 μB/atom. The total energy comes out at -2.722 eV/atom. As for the calculated volume: 21.46 A^3/atom.

Unit cell a=5.668 b=5.668 c=5.668 alpha=60.00 beta=60.00 gamma=60.00
Positions (direct):
Pb (0.250, 0.250, 0.250)
Zn (0.000, 0.000, 0.000)
Ga (0.626, 0.626, 0.123)
Ga (0.626, 0.123, 0.626)
Ga (0.626, 0.626, 0.626)
Ga (0.123, 0.626, 0.626)